[1]
The following is a DFT calculation (PBE) of MgGeRuO6 after structural relaxation.

density of states at the Fermi level = 0.39 states/eV per atom
uncorrected formation energy = -12.84 eV/f.u.
uncorrected energy = -6.45 eV per atom
size of the total moment = 3.3 Bohr magnetons per cell
crystal system = tetragonal

Cell lengths 4.598, 4.598, 8.999 Å; angles 90.00, 90.00, 90.00 degrees
Last column: magnetic moment on the atom in μB.
Fractional coordinates of all 18 atoms:
Mg (0.500, 0.500, 0.500)  0.01
Ru (0.500, 0.500, 0.168)  1.07
O (0.294, 0.294, 0.325)  0.10
O (0.814, 0.186, 0.499)  0.07
Mg (0.000, 0.000, 0.000)  0.01
Ge (0.000, 0.000, 0.332)  0.02
O (0.794, 0.206, 0.825)  0.10
Ru (0.000, 0.000, 0.668)  1.07
O (0.706, 0.706, 0.325)  0.10
O (0.202, 0.798, 0.175)  0.03
O (0.702, 0.702, 0.675)  0.03
O (0.798, 0.202, 0.175)  0.03
Ge (0.500, 0.500, 0.832)  0.02
O (0.206, 0.794, 0.825)  0.10
O (0.298, 0.298, 0.675)  0.03
O (0.186, 0.814, 0.499)  0.07
O (0.314, 0.314, 0.999)  0.07
O (0.686, 0.686, 0.999)  0.07


[2]
The following is a DFT calculation (PBE) of Mg2GeSbO6 after structural relaxation.

density of states at the Fermi level = 0.15 states/eV per atom
uncorrected formation energy = -16.69 eV/f.u.
uncorrected energy = -5.84 eV per atom
size of the total moment = 0.0 Bohr magnetons per cell
crystal system = tetragonal

Cell lengths 4.922, 5.256, 5.256 Å; angles 90.00, 90.00, 90.00 degrees
Fractional coordinates of all 10 atoms:
O (0.244, 0.000, 0.000)
O (0.743, 0.760, 0.240)
O (0.177, 0.500, 0.500)
O (0.743, 0.760, 0.760)
Ge (0.597, 0.000, 0.000)
Sb (0.572, 0.500, 0.500)
Mg (0.943, 0.500, 0.000)
O (0.743, 0.240, 0.240)
O (0.743, 0.240, 0.760)
Mg (0.943, 0.000, 0.500)


[3]
The following is a DFT calculation (PBE) of MgGeSb2O after structural relaxation.

density of states at the Fermi level = 1.41 states/eV per atom
uncorrected formation energy = 5.18 eV/f.u.
uncorrected energy = -2.85 eV per atom
size of the total moment = 0.0 Bohr magnetons per cell
crystal system = tetragonal

Cell lengths 5.261, 4.970, 5.261 Å; angles 90.00, 90.00, 90.00 degrees
Fractional coordinates of all 5 atoms:
Sb (0.500, 0.000, 0.000)
Mg (0.000, 0.000, 0.000)
Sb (0.000, 0.000, 0.500)
O (0.500, 0.500, 0.500)
Ge (0.000, 0.500, 0.000)


[4]
The following is a DFT calculation (PBE) of MgSc2GeO6 after structural relaxation.

density of states at the Fermi level = 0.00 states/eV per atom
uncorrected formation energy = -25.34 eV/f.u.
uncorrected energy = -7.40 eV per atom
size of the total moment = 0.1 Bohr magnetons per cell
crystal system = tetragonal

Cell lengths 4.813, 5.025, 5.025 Å; angles 90.00, 90.00, 90.00 degrees
Last column: magnetic moment on the atom in μB.
Fractional coordinates of all 10 atoms:
O (0.737, 0.242, 0.758)  0.00
O (0.164, 0.500, 0.500)  0.05
O (0.737, 0.758, 0.242)  0.00
O (0.225, 0.000, 0.000)  0.00
O (0.737, 0.758, 0.758)  0.00
Sc (0.975, 0.000, 0.500)  0.00
O (0.737, 0.242, 0.242)  0.00
Sc (0.975, 0.500, 0.000)  0.00
Mg (0.568, 0.500, 0.500)  0.00
Ge (0.593, 0.000, 0.000)  0.00


[5]
The following is a DFT calculation (PBE) of MgSiGeO5 after structural relaxation.

density of states at the Fermi level = 0.00 states/eV per atom
uncorrected formation energy = -18.62 eV/f.u.
uncorrected energy = -6.88 eV per atom
size of the total moment = 0.0 Bohr magnetons per cell
crystal system = monoclinic

Cell lengths 5.398, 5.398, 6.903 Å; angles 107.78, 107.78, 97.98 degrees
Fractional coordinates of all 16 atoms:
Si (0.350, 0.650, 0.750)
Mg (0.688, 0.312, 0.750)
O (0.928, 0.072, 0.750)
O (0.680, 0.706, 0.860)
Si (0.650, 0.350, 0.250)
O (0.320, 0.294, 0.140)
O (0.263, 0.789, 0.566)
Ge (0.000, 0.000, 0.000)
O (0.706, 0.680, 0.360)
O (0.294, 0.320, 0.640)
O (0.737, 0.211, 0.434)
Ge (0.000, 0.000, 0.500)
O (0.072, 0.928, 0.250)
Mg (0.312, 0.688, 0.250)
O (0.789, 0.263, 0.066)
O (0.211, 0.737, 0.934)


[6]
The following is a DFT calculation (PBE) of Mg2SnGeO6 after structural relaxation.

uncorrected formation energy = -17.98 eV/f.u.
uncorrected energy = -5.95 eV per atom
size of the total moment = 0.0 Bohr magnetons per cell
crystal system = tetragonal

Cell lengths 4.896, 5.147, 5.147 Å; angles 90.00, 90.00, 90.00 degrees
Fractional coordinates of all 10 atoms:
O (0.741, 0.759, 0.241)
O (0.174, 0.500, 0.500)
O (0.741, 0.241, 0.759)
O (0.238, 0.000, 0.000)
O (0.741, 0.759, 0.759)
Ge (0.593, 0.000, 0.000)
Mg (0.954, 0.500, 0.000)
Sn (0.570, 0.500, 0.500)
O (0.741, 0.241, 0.241)
Mg (0.954, 0.000, 0.500)


[7]
The following is a DFT calculation (PBE) of MgSnGe2O6 after structural relaxation.

density of states at the Fermi level = 0.00 states/eV per atom
uncorrected formation energy = -17.57 eV/f.u.
uncorrected energy = -6.22 eV per atom
size of the total moment = 0.0 Bohr magnetons per cell
crystal system = monoclinic

Cell lengths 7.427, 7.427, 5.738 Å; angles 76.10, 76.10, 85.93 degrees
Fractional coordinates of all 20 atoms:
Mg (0.283, 0.717, 0.750)
Mg (0.717, 0.283, 0.250)
O (0.714, 0.643, 0.123)
Sn (0.867, 0.133, 0.750)
Sn (0.133, 0.867, 0.250)
O (0.031, 0.704, 0.666)
O (0.704, 0.031, 0.166)
Ge (0.809, 0.621, 0.805)
O (0.357, 0.286, 0.377)
O (0.622, 0.202, 0.612)
Ge (0.621, 0.809, 0.305)
O (0.286, 0.357, 0.877)
O (0.296, 0.969, 0.834)
O (0.798, 0.378, 0.888)
O (0.969, 0.296, 0.334)
O (0.643, 0.714, 0.623)
O (0.202, 0.622, 0.112)
Ge (0.379, 0.191, 0.695)
Ge (0.191, 0.379, 0.195)
O (0.378, 0.798, 0.388)


[8]
The following is a DFT calculation (PBE) of Sr2MgGeO5 after structural relaxation.

density of states at the Fermi level = 0.00 states/eV per atom
uncorrected formation energy = -21.40 eV/f.u.
uncorrected energy = -6.20 eV per atom
size of the total moment = 0.0 Bohr magnetons per cell
crystal system = monoclinic

Cell lengths 3.343, 6.762, 11.101 Å; angles 90.00, 90.00, 104.31 degrees
Fractional coordinates of all 18 atoms:
O (0.722, 0.443, 0.154)
Sr (0.901, 0.802, 0.174)
Sr (0.842, 0.683, 0.805)
Sr (0.158, 0.317, 0.305)
Ge (0.469, 0.940, 0.445)
O (0.612, 0.226, 0.498)
Ge (0.531, 0.060, 0.945)
O (0.949, 0.899, 0.524)
O (0.051, 0.101, 0.024)
O (0.673, 0.345, 0.907)
Mg (0.787, 0.576, 0.529)
O (0.278, 0.557, 0.654)
Mg (0.213, 0.424, 0.029)
O (0.388, 0.774, 0.998)
Sr (0.099, 0.198, 0.674)
O (0.491, 0.982, 0.789)
O (0.509, 0.018, 0.289)
O (0.327, 0.655, 0.407)


[9]
The following is a DFT calculation (PBE) of SrMg2GeO after structural relaxation.

density of states at the Fermi level = 0.75 states/eV per atom
uncorrected formation energy = 1.47 eV/f.u.
uncorrected energy = -2.60 eV per atom
size of the total moment = 0.0 Bohr magnetons per cell
crystal system = tetragonal

Cell lengths 6.241, 4.266, 6.241 Å; angles 90.00, 90.00, 90.00 degrees
Fractional coordinates of all 5 atoms:
Ge (0.500, 0.500, 0.500)
Sr (0.000, 0.000, 0.000)
Mg (0.000, 0.000, 0.500)
Mg (0.500, 0.000, 0.000)
O (0.000, 0.500, 0.000)


[10]
The following is a DFT calculation (PBE) of SrMgGeO4 after structural relaxation.

density of states at the Fermi level = 0.00 states/eV per atom
uncorrected formation energy = -15.11 eV/f.u.
uncorrected energy = -6.12 eV per atom
size of the total moment = 0.0 Bohr magnetons per cell
crystal system = orthorhombic

Cell lengths 6.543, 6.341, 6.341 Å; angles 59.85, 58.94, 58.94 degrees
Fractional coordinates of all 14 atoms:
O (0.727, 0.761, 0.785)
Sr (0.000, 0.000, 0.000)
Ge (0.392, 0.358, 0.858)
O (0.273, 0.239, 0.215)
Mg (0.000, 0.000, 0.500)
O (0.273, 0.715, 0.739)
Mg (0.500, 0.000, 0.500)
O (0.266, 0.762, 0.262)
Ge (0.608, 0.642, 0.142)
O (0.734, 0.238, 0.738)
O (0.290, 0.238, 0.738)
O (0.710, 0.762, 0.262)
Sr (0.000, 0.500, 0.500)
O (0.727, 0.285, 0.261)


[11]
The following is a DFT calculation (PBE) of Sr3MgGe2O8 after structural relaxation.

density of states at the Fermi level = 0.00 states/eV per atom
uncorrected formation energy = -34.25 eV/f.u.
uncorrected energy = -6.41 eV per atom
size of the total moment = 0.0 Bohr magnetons per cell
crystal system = trigonal

Cell lengths 5.646, 5.646, 7.114 Å; angles 90.00, 90.00, 120.00 degrees
Fractional coordinates of all 14 atoms:
Mg (0.000, 0.000, 0.500)
Ge (0.667, 0.333, 0.787)
O (0.335, 0.167, 0.683)
O (0.833, 0.665, 0.683)
O (0.167, 0.335, 0.317)
Sr (0.000, 0.000, 0.000)
Ge (0.333, 0.667, 0.213)
O (0.333, 0.667, 0.971)
O (0.167, 0.833, 0.317)
O (0.833, 0.167, 0.683)
O (0.665, 0.833, 0.317)
O (0.667, 0.333, 0.029)
Sr (0.333, 0.667, 0.648)
Sr (0.667, 0.333, 0.352)


[12]
The following is a DFT calculation (PBE) of MgTcGeO6 after structural relaxation.

density of states at the Fermi level = 0.26 states/eV per atom
uncorrected formation energy = -14.85 eV/f.u.
uncorrected energy = -6.80 eV per atom
size of the total moment = 2.0 Bohr magnetons per cell
crystal system = trigonal

Cell lengths 5.027, 5.027, 9.080 Å; angles 90.00, 90.00, 120.00 degrees
Last column: magnetic moment on the atom in μB.
Fractional coordinates of all 18 atoms:
O (0.997, 0.644, 0.364)  0.01
O (0.644, 0.997, 0.864)  0.01
O (0.356, 0.353, 0.364)  0.01
O (0.003, 0.356, 0.636)  0.01
O (0.997, 0.353, 0.136)  0.01
Ge (0.333, 0.667, 0.750)  0.03
Mg (0.000, 0.000, 0.000)  0.00
Ge (0.667, 0.333, 0.250)  0.03
O (0.644, 0.647, 0.636)  0.01
O (0.647, 0.003, 0.364)  0.01
Tc (0.333, 0.667, 0.250)  0.82
Tc (0.667, 0.333, 0.750)  0.82
O (0.647, 0.644, 0.136)  0.01
O (0.353, 0.997, 0.636)  0.01
Mg (0.000, 0.000, 0.500)  0.00
O (0.003, 0.647, 0.864)  0.01
O (0.353, 0.356, 0.864)  0.01
O (0.356, 0.003, 0.136)  0.01


Please write out number 7 again, unchanged.
The following is a DFT calculation (PBE) of MgSnGe2O6 after structural relaxation.

density of states at the Fermi level = 0.00 states/eV per atom
uncorrected formation energy = -17.57 eV/f.u.
uncorrected energy = -6.22 eV per atom
size of the total moment = 0.0 Bohr magnetons per cell
crystal system = monoclinic

Cell lengths 7.427, 7.427, 5.738 Å; angles 76.10, 76.10, 85.93 degrees
Fractional coordinates of all 20 atoms:
Mg (0.283, 0.717, 0.750)
Mg (0.717, 0.283, 0.250)
O (0.714, 0.643, 0.123)
Sn (0.867, 0.133, 0.750)
Sn (0.133, 0.867, 0.250)
O (0.031, 0.704, 0.666)
O (0.704, 0.031, 0.166)
Ge (0.809, 0.621, 0.805)
O (0.357, 0.286, 0.377)
O (0.622, 0.202, 0.612)
Ge (0.621, 0.809, 0.305)
O (0.286, 0.357, 0.877)
O (0.296, 0.969, 0.834)
O (0.798, 0.378, 0.888)
O (0.969, 0.296, 0.334)
O (0.643, 0.714, 0.623)
O (0.202, 0.622, 0.112)
Ge (0.379, 0.191, 0.695)
Ge (0.191, 0.379, 0.195)
O (0.378, 0.798, 0.388)


Among the records above, which one has the highest uncorrected energy? SrMg2GeO


What is the formula in the sixth record? Mg2SnGeO6


size of the total moment of number 10 (SrMgGeO4)? 0.0 Bohr magnetons per cell